Compound: PrSi3Pd5
Source: the Alexandria database
Functional: PBE
Structure: relaxed

- formation energy without anion corrections (eV per atom) = -0.751
- final energy (eV/cell) = -107.5

```
18
Lattice="1.970 -6.263 0.000 1.970 6.263 0.000 0.000 0.000 12.662" Properties=species:S:1:pos:R:3 pbc="T T T"
Pr 1.970 4.373 9.496
Pr 1.970 -4.373 3.165
Si 1.970 4.770 3.165
Si 1.970 1.420 0.507
Si 1.970 1.420 5.824
Si 1.970 -1.420 6.838
Si 1.970 -1.420 12.155
Si 1.970 -4.770 9.496
Pd 0.000 0.000 0.000
Pd 0.000 0.000 6.331
Pd 1.970 3.679 0.946
Pd 1.970 3.679 5.385
Pd 1.970 0.679 8.170
Pd 1.970 0.679 10.823
Pd 1.970 -0.679 1.839
Pd 1.970 -0.679 4.492
Pd 1.970 -3.679 7.277
Pd 1.970 -3.679 11.715
```